--- w ---
# GGA-PBE Mn4W5, relaxed
# Crystal system: hexagonal
data_Mn4W5
_cell_length_a 7.5922
_cell_length_b 7.5922
_cell_length_c 5.0584
_cell_angle_alpha 90.00
_cell_angle_beta 90.00
_cell_angle_gamma 120.00
_space_group_name_H-M_alt 'P 63/m c m'
_space_group_IT_number 193
_space_group_name_Hall '-P 6c 2'
loop_
_atom_site_label
_atom_site_fract_x
_atom_site_fract_y
_atom_site_fract_z
Mn1 0.0000 0.0000 0.0000
Mn2 0.0000 0.3863 0.2500
W1 0.0000 0.2875 0.7500
W2 0.3333 0.6667 0.0000

***

--- x ---
# GGA-PBE Mn4W5, relaxed
# Crystal system: tetragonal
data_Mn4W5
_cell_length_a 9.067
_cell_length_b 9.067
_cell_length_c 3.126
_cell_angle_alpha 90.00
_cell_angle_beta 90.00
_cell_angle_gamma 90.00
_space_group_name_H-M_alt 'I 4/m m m'
_space_group_IT_number 139
_space_group_name_Hall '-I 4 2'
loop_
_atom_site_label
_atom_site_fract_x
_atom_site_fract_y
_atom_site_fract_z
Mn1 0.000 0.343 0.000
W1 0.000 0.000 0.000
W2 0.169 0.169 0.500

***

Most stable structure, least stable structure: x, w.

***

--- w ---
# GGA-PBE Mn3W2, relaxed
# Crystal system: trigonal
data_Mn3W2
_cell_length_a 2.7047
_cell_length_b 2.7047
_cell_length_c 31.7638
_cell_angle_alpha 90.00
_cell_angle_beta 90.00
_cell_angle_gamma 120.00
_space_group_name_H-M_alt 'R -3 m'
_space_group_IT_number 166
_space_group_name_Hall '-R 3 2"'
loop_
_atom_site_label
_atom_site_fract_x
_atom_site_fract_y
_atom_site_fract_z
Mn1 0.0000 0.0000 0.0000
Mn2 0.0000 0.0000 0.1952
W1 0.0000 0.0000 0.4014

***

--- x ---
# GGA-PBE Mn3W2, relaxed
# Crystal system: trigonal
data_Mn3W2
_cell_length_a 4.1264
_cell_length_b 4.1264
_cell_length_c 5.0246
_cell_angle_alpha 90.00
_cell_angle_beta 90.00
_cell_angle_gamma 120.00
_space_group_name_H-M_alt 'P -3 m 1'
_space_group_IT_number 164
_space_group_name_Hall '-P 3 2"'
loop_
_atom_site_label
_atom_site_fract_x
_atom_site_fract_y
_atom_site_fract_z
Mn1 0.0000 0.0000 0.0000
Mn2 0.3333 0.6667 0.3328
W1 0.3333 0.6667 0.8163

***

Most stable structure, least stable structure: w, x.

***

--- w ---
# GGA-PBE Mn4W3, relaxed
# Crystal system: tetragonal
data_Mn4W3
_cell_length_a 3.048
_cell_length_b 3.048
_cell_length_c 20.485
_cell_angle_alpha 90.00
_cell_angle_beta 90.00
_cell_angle_gamma 90.00
_space_group_name_H-M_alt 'I 4/m m m'
_space_group_IT_number 139
_space_group_name_Hall '-I 4 2'
loop_
_atom_site_label
_atom_site_fract_x
_atom_site_fract_y
_atom_site_fract_z
Mn1 0.000 0.000 0.070
Mn2 0.000 0.000 0.359
W1 0.000 0.000 0.208
W2 0.000 0.000 0.500

***

--- x ---
# GGA-PBE Mn4W3, relaxed
# Crystal system: hexagonal
data_Mn4W3
_cell_length_a 5.1015
_cell_length_b 5.1015
_cell_length_c 4.6808
_cell_angle_alpha 90.00
_cell_angle_beta 90.00
_cell_angle_gamma 120.00
_space_group_name_H-M_alt 'P 6/m m m'
_space_group_IT_number 191
_space_group_name_Hall '-P 6 2'
loop_
_atom_site_label
_atom_site_fract_x
_atom_site_fract_y
_atom_site_fract_z
Mn1 0.0000 0.0000 0.2283
Mn2 0.3333 0.6667 0.0000
W1 0.0000 0.5000 0.5000

***

Most stable structure, least stable structure: w, x.

***

--- w ---
# GGA-PBE MnW5, relaxed
# Crystal system: orthorhombic
data_MnW5
_cell_length_a 3.189
_cell_length_b 13.194
_cell_length_c 4.430
_cell_angle_alpha 90.00
_cell_angle_beta 90.00
_cell_angle_gamma 90.00
_space_group_name_H-M_alt 'C m m m'
_space_group_IT_number 65
_space_group_name_Hall '-C 2 2'
loop_
_atom_site_label
_atom_site_fract_x
_atom_site_fract_y
_atom_site_fract_z
Mn1 0.000 0.000 0.000
W1 0.000 0.164 0.500
W2 0.000 0.336 0.000
W3 0.000 0.500 0.500

***

--- x ---
# GGA-PBE MnW5, relaxed
# Crystal system: tetragonal
data_MnW5
_cell_length_a 2.712
_cell_length_b 2.712
_cell_length_c 12.675
_cell_angle_alpha 90.00
_cell_angle_beta 90.00
_cell_angle_gamma 90.00
_space_group_name_H-M_alt 'P 4/m m m'
_space_group_IT_number 123
_space_group_name_Hall '-P 4 2'
loop_
_atom_site_label
_atom_site_fract_x
_atom_site_fract_y
_atom_site_fract_z
Mn1 0.000 0.000 0.000
W1 0.000 0.000 0.320
W2 0.500 0.500 0.141
W3 0.500 0.500 0.500

***

--- y ---
# GGA-PBE MnW5, relaxed
# Crystal system: hexagonal
data_MnW5
_cell_length_a 5.3157
_cell_length_b 5.3157
_cell_length_c 4.4854
_cell_angle_alpha 90.00
_cell_angle_beta 90.00
_cell_angle_gamma 120.00
_space_group_name_H-M_alt 'P 6/m m m'
_space_group_IT_number 191
_space_group_name_Hall '-P 6 2'
loop_
_atom_site_label
_atom_site_fract_x
_atom_site_fract_y
_atom_site_fract_z
Mn1 0.0000 0.0000 0.0000
W1 0.0000 0.5000 0.5000
W2 0.3333 0.6667 0.0000

***

Most stable structure, least stable structure: w, y.

***

--- w ---
# GGA-PBE Mn5W, relaxed
# Crystal system: orthorhombic
data_Mn5W
_cell_length_a 4.162
_cell_length_b 2.576
_cell_length_c 13.382
_cell_angle_alpha 90.00
_cell_angle_beta 90.00
_cell_angle_gamma 90.00
_space_group_name_H-M_alt 'A m m 2'
_space_group_IT_number 38
loop_
_space_group_symop_operation_xyz
'x,y,z'
'-x,-y,z'
'-x,y,z'
'x,-y,z'
'x,y+1/2,z+1/2'
'-x,-y+1/2,z+1/2'
'-x,y+1/2,z+1/2'
'x,-y+1/2,z+1/2'
loop_
_atom_site_label
_atom_site_fract_x
_atom_site_fract_y
_atom_site_fract_z
Mn1 0.000 0.000 0.000
Mn2 0.000 0.000 0.314
Mn3 0.000 0.000 0.660
Mn4 0.500 0.000 0.204
Mn5 0.500 0.000 0.555
W1 0.500 0.000 0.881

***

--- x ---
# GGA-PBE Mn5W, relaxed
# Crystal system: orthorhombic
data_Mn5W
_cell_length_a 3.615
_cell_length_b 10.923
_cell_length_c 3.607
_cell_angle_alpha 90.00
_cell_angle_beta 90.00
_cell_angle_gamma 90.00
_space_group_name_H-M_alt 'C m m m'
_space_group_IT_number 65
_space_group_name_Hall '-C 2 2'
loop_
_atom_site_label
_atom_site_fract_x
_atom_site_fract_y
_atom_site_fract_z
Mn1 0.000 0.000 0.000
Mn2 0.000 0.178 0.500
Mn3 0.000 0.323 0.000
W1 0.000 0.500 0.500

***

Most stable structure, least stable structure: x, w.

***

--- w ---
# GGA-PBE Mn5W, relaxed
# Crystal system: monoclinic
data_Mn5W
_cell_length_a 9.307
_cell_length_b 2.697
_cell_length_c 5.905
_cell_angle_alpha 90.00
_cell_angle_beta 106.53
_cell_angle_gamma 90.00
_space_group_name_H-M_alt 'C 1 m 1'
_space_group_IT_number 8
loop_
_space_group_symop_operation_xyz
'x,y,z'
'x,-y,z'
'x+1/2,y+1/2,z'
'x+1/2,-y+1/2,z'
loop_
_atom_site_label
_atom_site_fract_x
_atom_site_fract_y
_atom_site_fract_z
Mn1 0.000 0.000 0.000
Mn2 0.020 0.000 0.595
Mn3 0.127 0.500 0.351
Mn4 0.182 0.500 0.890
Mn5 0.320 0.000 0.683
W1 0.342 0.000 0.242

***

--- x ---
# GGA-PBE Mn5W, relaxed
# Crystal system: hexagonal
data_Mn5W
_cell_length_a 4.5896
_cell_length_b 4.5896
_cell_length_c 3.9866
_cell_angle_alpha 90.00
_cell_angle_beta 90.00
_cell_angle_gamma 120.00
_space_group_name_H-M_alt 'P 6/m m m'
_space_group_IT_number 191
_space_group_name_Hall '-P 6 2'
loop_
_atom_site_label
_atom_site_fract_x
_atom_site_fract_y
_atom_site_fract_z
Mn1 0.0000 0.5000 0.0000
Mn2 0.3333 0.6667 0.5000
W1 0.0000 0.0000 0.5000

***

--- y ---
# GGA-PBE Mn5W, relaxed
# Crystal system: cubic
data_Mn5W
_cell_length_a 6.610
_cell_length_b 6.610
_cell_length_c 6.610
_cell_angle_alpha 90.00
_cell_angle_beta 90.00
_cell_angle_gamma 90.00
_space_group_name_H-M_alt 'F -4 3 m'
_space_group_IT_number 216
_space_group_name_Hall 'F -4 2 3'
loop_
_atom_site_label
_atom_site_fract_x
_atom_site_fract_y
_atom_site_fract_z
Mn1 0.000 0.000 0.000
Mn2 0.127 0.127 0.627
W1 0.250 0.250 0.250

***

Most stable structure, least stable structure: y, x.

***

--- w ---
# GGA-PBE Mn2W3, relaxed
# Crystal system: trigonal
data_Mn2W3
_cell_length_a 4.1431
_cell_length_b 4.1431
_cell_length_c 5.1061
_cell_angle_alpha 90.00
_cell_angle_beta 90.00
_cell_angle_gamma 120.00
_space_group_name_H-M_alt 'P -3 m 1'
_space_group_IT_number 164
_space_group_name_Hall '-P 3 2"'
loop_
_atom_site_label
_atom_site_fract_x
_atom_site_fract_y
_atom_site_fract_z
Mn1 0.3333 0.6667 0.3403
W1 0.0000 0.0000 0.5000
W2 0.3333 0.6667 0.8548

***

--- x ---
# GGA-PBE Mn2W3, relaxed
# Crystal system: trigonal
data_Mn2W3
_cell_length_a 2.7988
_cell_length_b 2.7988
_cell_length_c 32.6543
_cell_angle_alpha 90.00
_cell_angle_beta 90.00
_cell_angle_gamma 120.00
_space_group_name_H-M_alt 'R -3 m'
_space_group_IT_number 166
_space_group_name_Hall '-R 3 2"'
loop_
_atom_site_label
_atom_site_fract_x
_atom_site_fract_y
_atom_site_fract_z
Mn1 0.0000 0.0000 0.1019
W1 0.0000 0.0000 0.2964
W2 0.0000 0.0000 0.5000

***

--- y ---
# GGA-PBE Mn2W3, relaxed
# Crystal system: orthorhombic
data_Mn2W3
_cell_length_a 9.246
_cell_length_b 12.608
_cell_length_c 4.921
_cell_angle_alpha 90.00
_cell_angle_beta 90.00
_cell_angle_gamma 90.00
_space_group_name_H-M_alt 'F d d 2'
_space_group_IT_number 43
_space_group_name_Hall 'F 2 -2d'
loop_
_atom_site_label
_atom_site_fract_x
_atom_site_fract_y
_atom_site_fract_z
Mn1 0.024 0.303 0.000
W1 0.000 0.000 0.463
W2 0.058 0.393 0.458

***

Most stable structure, least stable structure: y, w.

***

--- w ---
# GGA-PBE YMnW3, relaxed
# Crystal system: cubic
data_YMnW3
_cell_length_a 4.594
_cell_length_b 4.594
_cell_length_c 4.594
_cell_angle_alpha 90.00
_cell_angle_beta 90.00
_cell_angle_gamma 90.00
_space_group_name_H-M_alt 'P m -3 m'
_space_group_IT_number 221
_space_group_name_Hall '-P 4 2 3'
loop_
_atom_site_label
_atom_site_fract_x
_atom_site_fract_y
_atom_site_fract_z
Y1 0.000 0.000 0.000
Mn1 0.500 0.500 0.500
W1 0.000 0.500 0.500

***

--- x ---
# GGA-PBE YMnW3, relaxed
# Crystal system: cubic
data_YMnW3
_cell_length_a 4.748
_cell_length_b 4.748
_cell_length_c 4.748
_cell_angle_alpha 90.00
_cell_angle_beta 90.00
_cell_angle_gamma 90.00
_space_group_name_H-M_alt 'P m -3 m'
_space_group_IT_number 221
_space_group_name_Hall '-P 4 2 3'
loop_
_atom_site_label
_atom_site_fract_x
_atom_site_fract_y
_atom_site_fract_z
Y1 0.000 0.000 0.000
Mn1 0.500 0.500 0.500
W1 0.000 0.000 0.500

***

Most stable structure, least stable structure: w, x.